Material: KHoCoBr6
Method: DFT, PBE
State: optimized geometry

```
9
Lattice="3.505 -6.087 0.000 3.505 6.087 0.000 -0.031 0.000 7.374" Properties=species:S:1:pos:R:3 pbc="T T T"
K 0.000 0.000 0.000
Ho 3.489 2.028 3.687
Co 3.489 -2.029 3.687
Br 1.375 -2.187 5.235
Br 2.624 -0.110 2.112
Br 4.355 -0.110 5.262
Br 2.301 -3.777 2.142
Br 5.604 -2.187 2.139
Br 4.678 -3.777 5.232
```

## Properties
Uncorrected formation energy   -1.299 eV/atom
Space group   C2, No. 5
D(E_F)   1.01 states/eV/cell
V   34.96 A^3/atom
Energy   -34.5 eV per cell